# 1
Density functional theory data (PBE) for a geometry-optimized Mg2ScCd8 structure.

Structure (POSCAR):
```
Mg2ScCd8
1.0
8.006 -2.263 0.000
8.006 2.263 0.000
-1.797 0.000 6.653
Mg Sc Cd
2 1 8
Cartesian
3.486 0.000 0.973
10.729 0.000 5.680
7.107 0.000 3.326
0.358 0.000 1.594
0.920 0.000 4.625
4.001 0.000 3.947
6.478 0.000 0.231
7.737 0.000 6.421
10.214 0.000 2.706
13.294 0.000 2.028
13.857 0.000 5.058
```

Computed properties:
Space group: C2/m
DFT formation energy: -1.1 eV per formula unit
Energy: -1.6342 eV per atom
Theoretical density: 6.8 g/cm³
Crystal system: monoclinic

=====

# 2
Density functional theory data (PBE) for a geometry-optimized ScCdS2O8 structure.

Structure (POSCAR):
```
ScCdS2O8
1.0
4.338 -2.678 0.000
4.338 2.678 0.000
-0.102 0.000 8.054
Sc Cd S O
1 1 2 8
Cartesian
0.000 0.000 0.000
-0.051 0.000 4.027
2.935 0.000 6.348
5.639 0.000 1.706
3.789 1.213 6.587
1.844 0.000 7.362
2.436 0.000 4.977
4.785 1.213 1.467
3.789 -1.213 6.587
6.138 0.000 3.077
6.731 0.000 0.692
4.785 -1.213 1.467
```

Computed properties:
Space group: C2/m
Energy: -6.3037 eV per atom
Theoretical density: 3.1 g/cm³
Crystal system: monoclinic
Formation energy from raw total energies: -1.706 eV per atom

=====

# 3
Density functional theory data (PBE) for a geometry-optimized In4SiHg structure.

Structure (POSCAR):
```
In4SiHg
1.0
0.000 4.325 4.325
4.325 0.000 4.325
4.325 4.325 0.000
In Si Hg
4 1 1
Cartesian
1.079 1.079 1.079
3.246 3.246 1.079
3.246 1.079 3.246
1.079 3.246 3.246
6.488 6.488 6.488
4.325 4.325 4.325
```

Computed properties:
Space group: F-43m
Energy: -2.3760 eV per atom
Theoretical density: 7.1 g/cm³
Crystal system: cubic
Formation energy from raw total energies: 0.404 eV per atom

=====

# 4
Density functional theory data (PBE) for a geometry-optimized CaScBe3 structure.

Structure (POSCAR):
```
CaScBe3
1.0
4.833 0.000 0.000
0.000 4.833 0.000
0.000 0.000 4.833
Ca Sc Be
1 1 3
Cartesian
0.000 0.000 0.000
2.417 2.417 2.417
0.000 2.417 2.417
2.417 0.000 2.417
2.417 2.417 0.000
```

Computed properties:
Space group: Pm-3m
Polymorph energy (0 for the lowest one): 0.000 eV/atom
DFT formation energy: 5.7 eV per formula unit
Energy: -2.7627 eV per atom
Theoretical density: 1.6 g/cm³
Crystal system: cubic

=====

# 5
Density functional theory data (PBE) for a geometry-optimized Mn2Fe3 structure.

Structure (POSCAR):
```
Mn2Fe3
1.0
4.108 -2.142 0.000
4.108 2.142 0.000
-2.250 0.000 5.900
Mn Fe
4 6
Cartesian
2.053 1.434 3.234
2.788 1.434 5.617
3.178 -1.434 0.284
3.913 -1.434 2.666
0.539 0.712 5.019
3.546 0.713 1.475
1.664 -0.712 2.069
4.302 0.712 3.832
2.420 -0.713 4.425
5.427 -0.712 0.881
```

Computed properties:
Space group: C2/c
Polymorph energy (0 for the lowest one): 0.000 eV/atom
DFT formation energy: 0.2 eV per formula unit
Energy: -8.7033 eV per atom
Theoretical density: 8.9 g/cm³
Crystal system: monoclinic

=====

# 6
Density functional theory data (PBE) for a geometry-optimized Sm2ZrAg6 structure.

Structure (POSCAR):
```
Sm2ZrAg6
1.0
8.404 0.000 0.000
-4.202 7.278 0.000
0.000 0.000 3.149
Sm Zr Ag
2 1 6
Cartesian
0.000 4.852 0.000
4.202 2.426 0.000
0.000 0.000 0.000
-1.383 2.396 1.574
-2.819 4.882 1.574
2.766 0.000 1.574
1.383 2.396 1.574
5.638 0.000 1.574
2.819 4.882 1.574
```

Computed properties:
Space group: P6/mmm
DFT formation energy: -1.3 eV per formula unit
Energy: -4.0447 eV per atom
Theoretical density: 9.0 g/cm³
Crystal system: hexagonal

=====

# 7
Density functional theory data (PBE) for a geometry-optimized Pr3PaBi4 structure.

Structure (POSCAR):
```
Pr3PaBi4
1.0
4.617 -6.497 0.000
4.617 6.497 0.000
0.000 0.000 4.585
Pr Pa Bi
3 1 4
Cartesian
0.000 0.000 0.000
2.309 3.248 2.292
2.309 -3.248 2.292
4.617 0.000 0.000
4.617 3.183 0.000
2.376 0.000 2.292
6.858 0.000 2.292
4.617 -3.183 0.000
```

Computed properties:
Space group: Cmmm
DFT formation energy: -5.9 eV per formula unit
Energy: -5.6530 eV per atom
Theoretical density: 9.0 g/cm³
Crystal system: orthorhombic

=====

# 8
Density functional theory data (PBE) for a geometry-optimized TaBAs2Br structure.

Structure (POSCAR):
```
TaBAs2Br
1.0
4.376 0.000 0.000
0.000 4.376 0.000
0.000 0.000 4.505
Ta B As Br
1 1 2 1
Cartesian
0.000 0.000 0.000
2.188 2.188 2.253
0.000 2.188 2.253
2.188 0.000 2.253
2.188 2.188 0.000
```

Computed properties:
Space group: P4/mmm
Polymorph energy (0 for the lowest one): 0.000 eV/atom
Energy: -4.8488 eV per atom
Theoretical density: 8.1 g/cm³
Crystal system: tetragonal
Formation energy from raw total energies: 1.052 eV per atom